(1)
The following is a PBE calculation of crystalline BaMoS3 at its relaxed geometry, from the Open Quantum Materials Database.

Unit cell a=6.778 b=6.778 c=5.839 alpha=90.00 beta=90.00 gamma=120.03
Element x y z (fractional)
Ba  0.166  0.834  0.500
Ba  0.834  0.166  0.000
Mo  0.498  0.502  0.750
Mo  0.502  0.498  0.250
S  0.165  0.333  0.499
S  0.333  0.165  0.999
S  0.333  0.667  0.001
S  0.667  0.333  0.501
S  0.667  0.835  0.499
S  0.835  0.667  0.999

## Properties
**Density**: 4.71 g cm⁻³
**E_tot**: -6.193 eV per atom
**Symmetry**: Cmc2_1


(2)
The following is a PBE calculation of crystalline Ba3MoS5 at its relaxed geometry, from the Open Quantum Materials Database.

Unit cell a=9.273 b=9.273 c=9.273 alpha=125.41 beta=125.41 gamma=80.86
Element x y z (fractional)
Ba  0.163  0.663  0.827
Ba  0.250  0.250  0.000
Ba  0.337  0.163  0.500
Ba  0.663  0.837  0.500
Ba  0.750  0.750  0.000
Ba  0.837  0.337  0.173
Mo  0.250  0.750  0.500
Mo  0.750  0.250  0.500
S  0.000  0.000  0.000
S  0.001  0.798  0.500
S  0.202  0.702  0.203
S  0.298  0.501  0.500
S  0.499  0.999  0.797
S  0.500  0.500  0.000
S  0.501  0.001  0.203
S  0.702  0.499  0.500
S  0.798  0.298  0.797
S  0.999  0.202  0.500

## Properties
**Density**: 4.35 g cm⁻³
**E_tot**: -5.634 eV per atom
**Symmetry**: I4/mcm


(3)
The following is a PBE calculation of crystalline BaMo6S8 at its relaxed geometry, from the Open Quantum Materials Database.

Unit cell a=6.685 b=6.685 c=6.685 alpha=88.53 beta=88.53 gamma=88.53
Element x y z (fractional)
Ba  0.000  0.000  0.000
Mo  0.234  0.417  0.566
Mo  0.417  0.566  0.234
Mo  0.434  0.766  0.583
Mo  0.566  0.234  0.417
Mo  0.583  0.434  0.766
Mo  0.766  0.583  0.434
S  0.124  0.736  0.391
S  0.252  0.252  0.252
S  0.264  0.609  0.876
S  0.391  0.124  0.736
S  0.609  0.876  0.264
S  0.736  0.391  0.124
S  0.748  0.748  0.748
S  0.876  0.264  0.609

## Properties
**Density**: 5.39 g cm⁻³
**E_tot**: -7.564 eV per atom
**Symmetry**: R-3


(4)
The following is a PBE calculation of crystalline BaMoS3 at its relaxed geometry, from the Open Quantum Materials Database.

Unit cell a=6.774 b=6.774 c=5.901 alpha=93.27 beta=93.27 gamma=119.79
Element x y z (fractional)
Ba  0.170  0.830  0.500
Ba  0.830  0.170  0.000
Mo  0.497  0.498  0.754
Mo  0.498  0.497  0.254
S  0.164  0.329  0.472
S  0.328  0.663  0.004
S  0.329  0.164  0.972
S  0.663  0.328  0.504
S  0.669  0.831  0.536
S  0.831  0.669  0.036

## Properties
**Density**: 4.69 g cm⁻³
**E_tot**: -6.196 eV per atom
**Symmetry**: Cc


(5)
The following is a PBE calculation of crystalline Ba3MoS6 at its relaxed geometry, from the Open Quantum Materials Database.

Unit cell a=7.153 b=7.671 c=12.454 alpha=90.00 beta=123.32 gamma=90.00
Element x y z (fractional)
Ba  0.000  0.000  0.000
Ba  0.000  0.500  0.500
Ba  0.283  0.081  0.754
Ba  0.283  0.419  0.254
Ba  0.717  0.581  0.746
Ba  0.717  0.919  0.246
Mo  0.500  0.000  0.500
Mo  0.500  0.500  0.000
S  0.181  0.029  0.284
S  0.181  0.471  0.784
S  0.276  0.667  0.052
S  0.276  0.833  0.552
S  0.399  0.229  0.059
S  0.399  0.271  0.559
S  0.601  0.729  0.441
S  0.601  0.771  0.941
S  0.724  0.167  0.448
S  0.724  0.333  0.948
S  0.819  0.529  0.216
S  0.819  0.971  0.716

## Properties
**Density**: 4.07 g cm⁻³
**E_tot**: -5.414 eV per atom
**Symmetry**: P2_1/c


(6)
The following is a PBE calculation of crystalline BaSb2Mo at its relaxed geometry, from the Open Quantum Materials Database.

Unit cell a=5.377 b=5.377 c=5.377 alpha=60.00 beta=60.00 gamma=60.00
Element x y z (fractional)
Ba  0.000  0.000  0.000
Sb  0.500  0.500  0.500
Sb  0.750  0.750  0.750
Mo  0.250  0.250  0.250

## Properties
**Density**: 7.20 g cm⁻³
**E_tot**: -4.667 eV per atom
**Symmetry**: F-43m